#w
Material: NiAsPC
Method: DFT, GGA-PBE
State: optimized geometry

abc: 3.210 3.210 6.143
angles: 90.00 90.00 120.00
Fractional positions:
Ni  0.000  0.000  0.673
As  0.000  0.000  0.292
C  0.333  0.667  0.142
P  0.333  0.667  0.845

The calculation puts the calculated density at 5.3 Mg/m³. For the magnetization, the calculation gives 0.00 μB/atom.

---

#x
Material: NiAsPC
Method: DFT, GGA-PBE
State: optimized geometry

abc: 3.002 3.122 12.074
angles: 90.00 90.00 90.00
Fractional positions:
Ni  0.500  0.000  0.141
Ni  0.500  0.500  0.641
As  0.500  0.000  0.338
As  0.500  0.500  0.838
C  0.000  0.000  0.431
C  0.000  0.500  0.931
P  0.000  0.000  0.575
P  0.000  0.500  0.075

The calculation puts the calculated density at 5.2 Mg/m³. For the magnetization, the calculation gives 0.00 μB/atom.

---

Most stable = #w

---

#w
Material: NiAsPPtC
Method: DFT, GGA-PBE
State: optimized geometry

abc: 3.412 4.689 5.311
angles: 114.46 89.97 111.58
Fractional positions:
Ni  0.408  0.537  0.118
As  0.207  0.139  0.654
C  0.994  0.704  0.646
Pt  0.745  0.215  0.331
P  0.038  0.796  0.008

The calculation puts the calculated density at 8.7 Mg/m³. For the magnetization, the calculation gives 0.00 μB/atom.

---

#x
Material: NiAsPPtC
Method: DFT, GGA-PBE
State: optimized geometry

abc: 3.580 4.181 6.136
angles: 90.07 73.27 64.91
Fractional positions:
Ni  0.616  0.694  0.902
As  0.780  0.754  0.515
C  0.051  0.817  0.912
Pt  0.193  0.107  0.336
P  0.750  0.236  0.092

The calculation puts the calculated density at 7.8 Mg/m³. For the magnetization, the calculation gives 0.00 μB/atom.

---

#y
Material: NiAsPPtC
Method: DFT, GGA-PBE
State: optimized geometry

abc: 6.580 3.637 6.399
angles: 90.00 110.51 90.00
Fractional positions:
Ni  0.793  0.000  0.546
Ni  0.793  0.500  0.046
As  0.114  0.000  0.890
As  0.114  0.500  0.390
C  0.823  0.000  0.917
C  0.823  0.500  0.417
Pt  0.353  0.000  0.310
Pt  0.353  0.500  0.810
P  0.549  0.000  0.728
P  0.549  0.500  0.228

The calculation puts the calculated density at 8.6 Mg/m³. For the magnetization, the calculation gives 0.00 μB/atom.

---

#z
Material: NiAsPPtC
Method: DFT, GGA-PBE
State: optimized geometry

abc: 3.985 4.178 4.551
angles: 94.62 98.46 103.74
Fractional positions:
Ni  0.460  0.672  0.960
As  0.873  0.681  0.386
C  0.310  0.944  0.279
Pt  0.715  0.154  0.656
P  0.253  0.159  0.962

The calculation puts the calculated density at 8.5 Mg/m³. For the magnetization, the calculation gives 0.00 μB/atom.

---

Most stable = #z